This record from the Alexandria database describes an optimized crystal structure of Tl8TeI3Cl3. The functional is PBE-GGA.

N(E_F) = 0.000 states/eV per cell
magnetic moment = 0.000 μB per formula unit
calculated volume = 41.345 A^3/atom
formation energy (no corrections) = -0.72 eV/atom
E = -42.989 eV per cell

Cell: 9.730 9.730 9.730 Å, 57.90 57.90 57.90°
Positions (direct):
Tl: 0.240 0.742 0.742
Tl: 0.241 0.241 0.241
Tl: 0.258 0.258 0.760
Tl: 0.258 0.760 0.258
Tl: 0.742 0.240 0.742
Tl: 0.742 0.742 0.240
Tl: 0.759 0.759 0.759
Tl: 0.760 0.258 0.258
Te: 0.500 0.500 0.500
I: 0.000 0.500 0.500
I: 0.500 0.000 0.500
I: 0.500 0.500 0.000
Cl: 0.000 0.000 0.500
Cl: 0.000 0.500 0.000
Cl: 0.500 0.000 0.000

=====

This record from the Alexandria database describes an optimized crystal structure of TlTeI2Cl. The functional is PBE-GGA.

N(E_F) = 7.573 states/eV per cell
magnetic moment = 2.370 μB per formula unit
calculated volume = 43.830 A^3/atom
E above lowest polymorph = 630.5 meV per atom
formation energy (no corrections) = 0.32 eV/atom
E = -8.838 eV per cell

Cell: 5.970 5.970 6.150 Å, 90.00 90.00 90.00°
Positions (direct):
Tl: 0.000 0.000 0.000
Te: 0.000 0.000 0.500
I: 0.000 0.500 0.000
I: 0.500 0.000 0.000
Cl: 0.500 0.500 0.500

=====

This record from the Alexandria database describes an optimized crystal structure of TlTeI2Cl. The functional is PBE-GGA.

N(E_F) = 5.017 states/eV per cell
magnetic moment = 0.000 μB per formula unit
calculated volume = 38.173 A^3/atom
E above lowest polymorph = 467.7 meV per atom
formation energy (no corrections) = 0.16 eV/atom
E = -9.652 eV per cell

Cell: 5.898 5.898 5.487 Å, 90.00 90.00 90.00°
Positions (direct):
Tl: 0.000 0.000 0.000
Te: 0.500 0.500 0.000
I: 0.000 0.500 0.500
I: 0.500 0.000 0.500
Cl: 0.500 0.500 0.500

=====

This record from the Alexandria database describes an optimized crystal structure of YTeI2Cl. The functional is PBE-GGA.

N(E_F) = 5.674 states/eV per cell
magnetic moment = 0.000 μB per formula unit
calculated volume = 34.853 A^3/atom
E above lowest polymorph = 735.8 meV per atom
formation energy (no corrections) = 0.17 eV/atom
E = -13.685 eV per cell

Cell: 5.540 5.540 5.678 Å, 90.00 90.00 90.00°
Positions (direct):
Y: 0.000 0.000 0.000
Te: 0.500 0.500 0.000
I: 0.000 0.500 0.500
I: 0.500 0.000 0.500
Cl: 0.500 0.500 0.500